1.
# MgScIn2 | Alexandria | meta-GGA SCAN | single point on PBEsol structure
data_MgScIn2
_chemical_formula_sum 'Mg2 Sc2 In4'
_space_group_name_H-M_alt 'I -4 m 2'
_space_group_IT_number 119
_space_group_name_Hall 'I -4 -2'
_cell_length_a 4.3165
_cell_length_b 4.3165
_cell_length_c 9.5057
_cell_angle_alpha 90.00
_cell_angle_beta 90.00
_cell_angle_gamma 90.00
loop_
_atom_site_label
_atom_site_fract_x
_atom_site_fract_y
_atom_site_fract_z
_atom_site_occupancy
Mg1 0.0000 0.0000 0.0000 1
Sc1 0.0000 0.5000 0.7500 1
In1 0.0000 0.0000 0.5000 1
In2 0.0000 0.5000 0.2500 1
# Calculated formation energy (kJ/mol of atoms): -34

=====

2.
# In5Pb4 | Alexandria | meta-GGA SCAN | single point on PBEsol structure
data_In5Pb4
_chemical_formula_sum 'In10 Pb8'
_space_group_name_H-M_alt 'P 63/m c m'
_space_group_IT_number 193
_space_group_name_Hall '-P 6c 2'
_cell_length_a 9.3644
_cell_length_b 9.3644
_cell_length_c 6.5246
_cell_angle_alpha 90.00
_cell_angle_beta 90.00
_cell_angle_gamma 120.00
loop_
_atom_site_label
_atom_site_fract_x
_atom_site_fract_y
_atom_site_fract_z
_atom_site_occupancy
In1 0.0000 0.3376 0.2500 1
In2 0.3333 0.6667 0.0000 1
Pb1 0.0000 0.0000 0.0000 1
Pb2 0.0000 0.3315 0.7500 1
# Calculated formation energy (kJ/mol of atoms): 8

=====

3.
# Al2ZnIn | Alexandria | meta-GGA SCAN | single point on PBEsol structure
data_Al2ZnIn
_chemical_formula_sum 'Al8 Zn4 In4'
_space_group_name_H-M_alt 'I -4 2 d'
_space_group_IT_number 122
_space_group_name_Hall 'I -4 2bw'
_cell_length_a 7.6030
_cell_length_b 7.6030
_cell_length_c 5.4955
_cell_angle_alpha 90.00
_cell_angle_beta 90.00
_cell_angle_gamma 90.00
loop_
_atom_site_label
_atom_site_fract_x
_atom_site_fract_y
_atom_site_fract_z
_atom_site_occupancy
Al1 0.2144 0.7500 0.1250 1
Zn1 0.0000 0.0000 0.0000 1
In1 0.0000 0.0000 0.5000 1
# Calculated formation energy (kJ/mol of atoms): 25

=====

4.
First-principles (meta-GGA SCAN) data for K2Sb9PbSe15 at its PBEsol-relaxed geometry, as listed in Alexandria.

```
data_K2Sb9PbSe15
_chemical_formula_sum 'K4 Sb18 Pb2 Se30'
_space_group_name_H-M_alt 'P 1 21/m 1'
_space_group_IT_number 11
_space_group_name_Hall '-P 2yb'
_cell_length_a 17.0508
_cell_length_b 4.1408
_cell_length_c 21.3942
_cell_angle_alpha 90.00
_cell_angle_beta 99.55
_cell_angle_gamma 90.00
loop_
_atom_site_label
_atom_site_fract_x
_atom_site_fract_y
_atom_site_fract_z
_atom_site_occupancy
K1 0.0029 0.2500 0.1306 1
K2 0.2871 0.2500 0.1977 1
Sb1 0.0420 0.7500 0.3414 1
Sb2 0.1087 0.2500 0.5270 1
Sb3 0.1702 0.7500 0.0352 1
Sb4 0.2519 0.2500 0.3868 1
Sb5 0.3066 0.2500 0.8949 1
Sb6 0.3204 0.7500 0.5573 1
Sb7 0.4274 0.7500 0.0619 1
Sb8 0.4435 0.7500 0.7907 1
Sb9 0.4639 0.7500 0.4111 1
Pb1 0.1772 0.7500 0.7312 1
Se1 0.0388 0.7500 0.5881 1
Se2 0.0680 0.2500 0.7602 1
Se3 0.0723 0.2500 0.9944 1
Se4 0.1204 0.2500 0.2912 1
Se5 0.1506 0.7500 0.1495 1
Se6 0.1825 0.7500 0.4586 1
Se7 0.1991 0.7500 0.8707 1
Se8 0.2422 0.2500 0.6155 1
Se9 0.3183 0.2500 0.0444 1
Se10 0.3227 0.7500 0.3264 1
Se11 0.3240 0.2500 0.7716 1
Se12 0.3937 0.2500 0.4875 1
Se13 0.4388 0.7500 0.1883 1
Se14 0.4395 0.7500 0.9175 1
Se15 0.4666 0.7500 0.6495 1
```

=====

5.
# Cs2KTl2 | Alexandria | meta-GGA SCAN | single point on PBEsol structure
data_Cs2KTl2
_chemical_formula_sum 'Cs4 K2 Tl4'
_space_group_name_H-M_alt 'P 4/m b m'
_space_group_IT_number 127
_space_group_name_Hall '-P 4 2ab'
_cell_length_a 9.0233
_cell_length_b 9.0233
_cell_length_c 6.2669
_cell_angle_alpha 90.00
_cell_angle_beta 90.00
_cell_angle_gamma 90.00
loop_
_atom_site_label
_atom_site_fract_x
_atom_site_fract_y
_atom_site_fract_z
_atom_site_occupancy
Cs1 0.1782 0.3218 0.0000 1
K1 0.0000 0.0000 0.5000 1
Tl1 0.1141 0.6141 0.5000 1
# ΔE to the lowest computed polymorph (meV/atom): 0
# Calculated formation energy (kJ/mol of atoms): -8

=====

6.
First-principles (meta-GGA SCAN) data for KAg3Se2 at its PBEsol-relaxed geometry, as listed in Alexandria.

```
data_KAg3Se2
_chemical_formula_sum 'K4 Ag12 Se8'
_space_group_name_H-M_alt 'C 1 2/m 1'
_space_group_IT_number 12
_space_group_name_Hall '-C 2y'
_cell_length_a 16.2491
_cell_length_b 4.2858
_cell_length_c 8.6697
_cell_angle_alpha 90.00
_cell_angle_beta 114.71
_cell_angle_gamma 90.00
loop_
_atom_site_label
_atom_site_fract_x
_atom_site_fract_y
_atom_site_fract_z
_atom_site_occupancy
K1 0.1376 0.0000 0.0513 1
Ag1 0.0551 0.0000 0.3998 1
Ag2 0.0903 0.5000 0.6458 1
Ag3 0.1871 0.5000 0.4377 1
Se1 0.0161 0.5000 0.2020 1
Se2 0.2014 0.0000 0.7065 1
```

=====

7.
# LiCaZr2 | Alexandria | meta-GGA SCAN | single point on PBEsol structure
data_LiCaZr2
_chemical_formula_sum 'Li4 Ca4 Zr8'
_space_group_name_H-M_alt 'F -4 3 m'
_space_group_IT_number 216
_space_group_name_Hall 'F -4 2 3'
_cell_length_a 7.2440
_cell_length_b 7.2440
_cell_length_c 7.2440
_cell_angle_alpha 90.00
_cell_angle_beta 90.00
_cell_angle_gamma 90.00
loop_
_atom_site_label
_atom_site_fract_x
_atom_site_fract_y
_atom_site_fract_z
_atom_site_occupancy
Li1 0.0000 0.0000 0.0000 1
Ca1 0.2500 0.2500 0.2500 1
Zr1 0.0000 0.0000 0.5000 1
Zr2 0.2500 0.2500 0.7500 1
# ΔE to the lowest computed polymorph (meV/atom): 139
# Calculated formation energy (kJ/mol of atoms): 46

=====

8.
First-principles (meta-GGA SCAN) data for Na3Eu2Si2Te6 at its PBEsol-relaxed geometry, as listed in Alexandria.

```
data_Na3Eu2Si2Te6
_chemical_formula_sum 'Na6 Eu4 Si4 Te12'
_space_group_name_H-M_alt 'C 1 2/m 1'
_space_group_IT_number 12
_space_group_name_Hall '-C 2y'
_cell_length_a 7.6048
_cell_length_b 13.1594
_cell_length_c 8.2831
_cell_angle_alpha 90.00
_cell_angle_beta 107.78
_cell_angle_gamma 90.00
loop_
_atom_site_label
_atom_site_fract_x
_atom_site_fract_y
_atom_site_fract_z
_atom_site_occupancy
Na1 0.0000 0.0000 0.0000 1
Na2 0.0000 0.3321 0.0000 1
Eu1 0.0000 0.1666 0.5000 1
Si1 0.0495 0.5000 0.6504 1
Te1 0.2419 0.5000 0.2560 1
Te2 0.2427 0.3385 0.7441 1
```

=====

9.
# SrLi3Al | Alexandria | meta-GGA SCAN | single point on PBEsol structure
data_SrLi3Al
_chemical_formula_sum 'Sr1 Li3 Al1'
_space_group_name_H-M_alt 'P m -3 m'
_space_group_IT_number 221
_space_group_name_Hall '-P 4 2 3'
_cell_length_a 5.0613
_cell_length_b 5.0613
_cell_length_c 5.0613
_cell_angle_alpha 90.00
_cell_angle_beta 90.00
_cell_angle_gamma 90.00
loop_
_atom_site_label
_atom_site_fract_x
_atom_site_fract_y
_atom_site_fract_z
_atom_site_occupancy
Sr1 0.0000 0.0000 0.0000 1
Li1 0.0000 0.5000 0.5000 1
Al1 0.5000 0.5000 0.5000 1
# Calculated formation energy (kJ/mol of atoms): 4

=====

10.
# TiZnSn2Mo | Alexandria | meta-GGA SCAN | single point on PBEsol structure
data_TiZnSn2Mo
_chemical_formula_sum 'Ti1 Zn1 Sn2 Mo1'
_space_group_name_H-M_alt 'P 4/m m m'
_space_group_IT_number 123
_space_group_name_Hall '-P 4 2'
_cell_length_a 4.8511
_cell_length_b 4.8511
_cell_length_c 4.6602
_cell_angle_alpha 90.00
_cell_angle_beta 90.00
_cell_angle_gamma 90.00
loop_
_atom_site_label
_atom_site_fract_x
_atom_site_fract_y
_atom_site_fract_z
_atom_site_occupancy
Ti1 0.0000 0.0000 0.0000 1
Zn1 0.0000 0.0000 0.5000 1
Sn1 0.0000 0.5000 0.5000 1
Mo1 0.5000 0.5000 0.0000 1
# Calculated formation energy (kJ/mol of atoms): 104

=====

11.
# FeTc2W | Alexandria | meta-GGA SCAN | single point on PBEsol structure
data_FeTc2W
_chemical_formula_sum 'Fe1 Tc2 W1'
_space_group_name_H-M_alt 'P 4/m m m'
_space_group_IT_number 123
_space_group_name_Hall '-P 4 2'
_cell_length_a 3.7738
_cell_length_b 3.7738
_cell_length_c 3.8049
_cell_angle_alpha 90.00
_cell_angle_beta 90.00
_cell_angle_gamma 90.00
loop_
_atom_site_label
_atom_site_fract_x
_atom_site_fract_y
_atom_site_fract_z
_atom_site_occupancy
Fe1 0.0000 0.0000 0.0000 1
Tc1 0.0000 0.5000 0.5000 1
W1 0.5000 0.5000 0.0000 1
# Calculated formation energy (kJ/mol of atoms): 10

=====

12.
# LiZrPb2 | Alexandria | meta-GGA SCAN | single point on PBEsol structure
data_LiZrPb2
_chemical_formula_sum 'Li3 Zr3 Pb6'
_space_group_name_H-M_alt 'R -3 m'
_space_group_IT_number 166
_space_group_name_Hall '-R 3 2"'
_cell_length_a 3.3097
_cell_length_b 3.3097
_cell_length_c 29.3382
_cell_angle_alpha 90.00
_cell_angle_beta 90.00
_cell_angle_gamma 120.00
loop_
_atom_site_label
_atom_site_fract_x
_atom_site_fract_y
_atom_site_fract_z
_atom_site_occupancy
Li1 0.0000 0.0000 0.0000 1
Zr1 0.0000 0.0000 0.5000 1
Pb1 0.0000 0.0000 0.2534 1
# Calculated formation energy (kJ/mol of atoms): -27

=====

Results for total moment: 0.00, 0.00, 0.00, 0.00, 0.00, 0.00, 11.37, 28.67, 0.00, 2.49, 1.77, 0.00 (in Bohr magnetons per cell, following the order of the records).
Results for uncorrected energy: -174.78, -938.71, -245.50, -1480.14, -458.21, -581.98, -286.23, -751.14, -37.01, -130.90, -157.53, -557.30 (in eV per cell, following the order of the records).